A relaxed PmCuPd2 crystal, computed with PBE-GGA.

Summary:
The value obtained for the mass density is 9.709 g/cm³. Its electronic total energy is -5.345 eV per atom. The value obtained for the energy above the most stable polymorph in this dataset is 0.060 eV/atom. The value obtained for the formation enthalpy at 0 K is -2.150 eV per formula unit. For the density of states at the Fermi level, the calculation gives 1.882 states/eV/cell.

Lattice parameters (Å, degrees): 4.040 4.224 4.224 90.00 90.00 90.00
Positions (direct):
Pd1 0.000 0.500 0.000
Pd2 0.000 0.000 0.500
Pm1 0.500 0.500 0.500
Cu1 0.500 0.000 0.000

---

A relaxed Na3LaTc crystal, computed with PBE-GGA.

Summary:
The value obtained for the mass density is 2.886 g/cm³. Its electronic total energy is -3.614 eV per atom. The value obtained for the energy above the most stable polymorph in this dataset is 0.202 eV/atom. The value obtained for the formation enthalpy at 0 K is 1.182 eV per formula unit. For the density of states at the Fermi level, the calculation gives 4.678 states/eV/cell.

Lattice parameters (Å, degrees): 20.691 8.400 8.400 146.70 149.40 30.60
Positions (direct):
La1 0.877 0.780 0.220
La2 0.123 0.220 0.780
Na1 0.190 0.834 0.166
Na2 0.476 0.360 0.640
Na3 0.524 0.640 0.360
Na4 0.279 0.374 0.626
Na5 0.810 0.166 0.834
Na6 0.721 0.626 0.374
Tc1 0.973 0.806 0.194
Tc2 0.027 0.194 0.806

---

A relaxed TaTePb2 crystal, computed with PBE-GGA.

Summary:
The value obtained for the mass density is 7.638 g/cm³. Its electronic total energy is -4.601 eV per atom. For the density of states at the Fermi level, the calculation gives 7.626 states/eV/cell.

Lattice parameters (Å, degrees): 6.608 6.608 8.582 67.36 67.36 90.00
Positions (direct):
Te1 0.250 0.750 0.500
Te2 0.500 0.500 0.000
Pb1 0.082 0.625 0.250
Pb2 0.668 0.125 0.250
Pb3 0.375 0.332 0.750
Pb4 0.875 0.918 0.750
Ta1 0.750 0.250 0.500
Ta2 0.000 0.000 0.000

---

A relaxed YCrTc2 crystal, computed with PBE-GGA.

Summary:
The value obtained for the mass density is 8.067 g/cm³. Its electronic total energy is -8.919 eV per atom. The value obtained for the energy above the most stable polymorph in this dataset is 0.110 eV/atom. The value obtained for the formation enthalpy at 0 K is 1.145 eV per formula unit. For the density of states at the Fermi level, the calculation gives 4.925 states/eV/cell.

Lattice parameters (Å, degrees): 3.860 3.021 6.175 74.42 90.00 90.00
Positions (direct):
Tc1 0.000 0.942 0.942
Tc2 0.000 0.558 0.558
Cr1 0.500 0.750 0.750
Y1 0.500 0.250 0.250

---

A relaxed PmPb5Se7 crystal, computed with PBE-GGA.

Summary:
The value obtained for the mass density is 7.441 g/cm³. Its electronic total energy is -4.417 eV per atom. For the density of states at the Fermi level, the calculation gives 12.284 states/eV/cell.

Lattice parameters (Å, degrees): 4.255 7.606 24.902 89.99 90.00 106.24
Positions (direct):
Pb1 0.290 0.579 0.078
Pb2 0.443 0.886 0.652
Pb3 0.742 0.485 0.925
Pb4 0.258 0.516 0.425
Pb5 0.711 0.422 0.578
Pb6 0.527 0.054 0.348
Pb7 0.558 0.115 0.152
Pb8 0.474 0.948 0.848
Pb9 0.015 0.030 0.001
Pb10 0.985 0.971 0.501
Se1 0.794 0.588 0.687
Se2 0.931 0.861 0.107
Se3 0.207 0.413 0.187
Se4 0.178 0.356 0.316
Se5 0.567 0.134 0.746
Se6 0.348 0.695 0.539
Se7 0.434 0.867 0.246
Se8 0.377 0.754 0.964
Se9 0.116 0.232 0.876
Se10 0.624 0.247 0.464
Se11 0.653 0.306 0.039
Se12 0.070 0.140 0.607
Se13 0.885 0.769 0.376
Se14 0.822 0.645 0.816
Pm1 0.797 0.594 0.262
Pm2 0.204 0.407 0.762

---

A relaxed MgCu2Au crystal, computed with PBE-GGA.

Summary:
The value obtained for the mass density is 9.609 g/cm³. Its electronic total energy is -3.460 eV per atom. The value obtained for the formation enthalpy at 0 K is -0.774 eV per formula unit. For the density of states at the Fermi level, the calculation gives 1.533 states/eV/cell.

Lattice parameters (Å, degrees): 4.399 4.399 4.399 60.00 60.00 60.00
Positions (direct):
Cu1 0.250 0.250 0.250
Cu2 0.000 0.000 0.000
Mg1 0.750 0.750 0.750
Au1 0.500 0.500 0.500

---

A relaxed CsSnGe2Au crystal, computed with PBE-GGA.

Summary:
The value obtained for the mass density is 6.188 g/cm³. Its electronic total energy is -3.078 eV per atom. The value obtained for the formation enthalpy at 0 K is 1.977 eV per formula unit. For the density of states at the Fermi level, the calculation gives 5.433 states/eV/cell.

Lattice parameters (Å, degrees): 5.313 5.646 5.313 90.00 90.00 90.00
Positions (direct):
Ge1 0.500 0.000 0.000
Ge2 0.000 0.000 0.500
Sn1 0.000 0.500 0.000
Au1 0.000 0.000 0.000
Cs1 0.500 0.500 0.500

---

A relaxed Ba2DyGeTe5 crystal, computed with PBE-GGA.

Summary:
The value obtained for the mass density is 5.715 g/cm³. Its electronic total energy is -4.407 eV per atom. For the density of states at the Fermi level, the calculation gives 2.357 states/eV/cell.

Lattice parameters (Å, degrees): 4.735 10.479 13.802 90.00 90.00 103.06
Positions (direct):
Dy1 0.793 0.586 0.524
Dy2 0.207 0.414 0.024
Ge1 0.561 0.122 0.942
Ge2 0.439 0.878 0.442
Te1 0.686 0.373 0.871
Te2 0.501 0.003 0.770
Te3 0.314 0.627 0.371
Te4 0.951 0.903 0.541
Te5 0.049 0.097 0.041
Te6 0.295 0.589 0.668
Te7 0.705 0.411 0.168
Te8 0.499 0.997 0.270
Te9 0.647 0.294 0.504
Te10 0.353 0.706 0.004
Ba1 0.877 0.754 0.819
Ba2 0.123 0.246 0.319
Ba3 0.120 0.241 0.686
Ba4 0.880 0.759 0.186

---

Total magnetization values (in μB/atom) by entry order: 0.0000, 0.0000, 0.3341, 0.0003, 0.0000, 0.0000, 0.0000, 0.0000.